Entry 1:
Here is a geometry-optimized Zr2Ge2Ir structure from OQMD via LeMat-Bulk. Energies are from PBE.

```
data_Zr2Ge2Ir
_space_group_name_H-M_alt 'P 1'
_space_group_IT_number 1
_cell_length_a 6.4504
_cell_length_b 6.4504
_cell_length_c 4.2722
_cell_angle_alpha 90.00
_cell_angle_beta 90.00
_cell_angle_gamma 90.00
loop_
_space_group_symop_operation_xyz
'x,y,z'
loop_
_atom_site_label
_atom_site_fract_x
_atom_site_fract_y
_atom_site_fract_z
Zr1 0.1685 0.3315 0.0000
Zr2 0.3315 0.8315 0.0000
Zr3 0.6685 0.1685 0.0000
Zr4 0.8315 0.6685 0.0000
Ge1 0.1381 0.6381 0.5000
Ge2 0.3619 0.1381 0.5000
Ge3 0.6381 0.8619 0.5000
Ge4 0.8619 0.3619 0.5000
Ir1 0.0000 0.0000 0.5000
Ir2 0.5000 0.5000 0.5000
```

Computed properties:
Total DFT energy (no corrections): -0.577 Ry/atom

***

Entry 2:
Here is a geometry-optimized Zr3Ge4Ir structure from OQMD via LeMat-Bulk. Energies are from PBE.

```
data_Zr3Ge4Ir
_space_group_name_H-M_alt 'P 1'
_space_group_IT_number 1
_cell_length_a 6.3833
_cell_length_b 3.7466
_cell_length_c 6.6347
_cell_angle_alpha 90.00
_cell_angle_beta 90.14
_cell_angle_gamma 90.00
loop_
_space_group_symop_operation_xyz
'x,y,z'
loop_
_atom_site_label
_atom_site_fract_x
_atom_site_fract_y
_atom_site_fract_z
Zr1 0.0000 0.0000 0.0000
Zr2 0.0408 0.5000 0.5625
Zr3 0.5008 0.0000 0.0897
Ge1 0.2246 0.5000 0.1984
Ge2 0.3548 0.0000 0.6926
Ge3 0.6989 0.5000 0.8244
Ge4 0.7783 0.0000 0.3875
Ir1 0.5180 0.5000 0.4721
```

Computed properties:
Total DFT energy (no corrections): -0.519 Ry/atom

***

Entry 3:
Here is a geometry-optimized KLuGe structure from OQMD via LeMat-Bulk. Energies are from PBE.

```
data_KLuGe
_space_group_name_H-M_alt 'P 1'
_space_group_IT_number 1
_cell_length_a 7.2468
_cell_length_b 7.2468
_cell_length_c 7.2468
_cell_angle_alpha 90.00
_cell_angle_beta 90.00
_cell_angle_gamma 90.00
loop_
_space_group_symop_operation_xyz
'x,y,z'
loop_
_atom_site_label
_atom_site_fract_x
_atom_site_fract_y
_atom_site_fract_z
K1 0.0000 0.0000 0.0000
K2 0.0000 0.5000 0.5000
K3 0.5000 0.0000 0.5000
K4 0.5000 0.5000 0.0000
Lu1 0.0000 0.0000 0.5000
Lu2 0.0000 0.5000 0.0000
Lu3 0.5000 0.0000 0.0000
Lu4 0.5000 0.5000 0.5000
Ge1 0.2500 0.2500 0.2500
Ge2 0.2500 0.7500 0.7500
Ge3 0.7500 0.2500 0.7500
Ge4 0.7500 0.7500 0.2500
```

Computed properties:
ΔE to the lowest computed polymorph: 0.000 eV per atom
Total DFT energy (no corrections): -0.248 Ry/atom

***

Entry 4:
Here is a geometry-optimized KLuGeSe3 structure from OQMD via LeMat-Bulk. Energies are from PBE.

```
data_KLuGeSe3
_space_group_name_H-M_alt 'P 1'
_space_group_IT_number 1
_cell_length_a 8.5644
_cell_length_b 3.9997
_cell_length_c 10.9304
_cell_angle_alpha 90.00
_cell_angle_beta 109.21
_cell_angle_gamma 90.00
loop_
_space_group_symop_operation_xyz
'x,y,z'
loop_
_atom_site_label
_atom_site_fract_x
_atom_site_fract_y
_atom_site_fract_z
K1 0.2278 0.2500 0.2713
K2 0.7722 0.7500 0.7287
Lu1 0.3659 0.7500 0.8446
Lu2 0.6341 0.2500 0.1554
Ge1 0.1295 0.2500 0.5581
Ge2 0.8705 0.7500 0.4419
Se1 0.1146 0.2500 0.7817
Se2 0.3383 0.7500 0.5773
Se3 0.3932 0.7500 0.1060
Se4 0.6068 0.2500 0.8940
Se5 0.6617 0.2500 0.4227
Se6 0.8854 0.7500 0.2183
```

Computed properties:
ΔE to the lowest computed polymorph: 0.000 eV per atom
Total DFT energy (no corrections): -0.345 Ry/atom

***

Entry 5:
Here is a geometry-optimized KLuGeSe3 structure from OQMD via LeMat-Bulk. Energies are from PBE.

```
data_KLuGeSe3
_space_group_name_H-M_alt 'P 1'
_space_group_IT_number 1
_cell_length_a 8.0858
_cell_length_b 8.0858
_cell_length_c 11.5812
_cell_angle_alpha 90.00
_cell_angle_beta 90.00
_cell_angle_gamma 151.33
loop_
_space_group_symop_operation_xyz
'x,y,z'
loop_
_atom_site_label
_atom_site_fract_x
_atom_site_fract_y
_atom_site_fract_z
K1 0.2054 0.7946 0.7500
K2 0.7946 0.2054 0.2500
Lu1 0.5000 0.5000 0.0000
Lu2 0.5000 0.5000 0.5000
Ge1 0.0999 0.9001 0.2500
Ge2 0.9001 0.0999 0.7500
Se1 0.1235 0.8765 0.0127
Se2 0.1235 0.8765 0.4873
Se3 0.4912 0.5088 0.2500
Se4 0.5088 0.4912 0.7500
Se5 0.8765 0.1235 0.5127
Se6 0.8765 0.1235 0.9873
```

Computed properties:
ΔE to the lowest computed polymorph: 0.146 eV per atom
Total DFT energy (no corrections): -0.334 Ry/atom

***

Entry 6:
Here is a geometry-optimized KLuGeTe3 structure from OQMD via LeMat-Bulk. Energies are from PBE.

```
data_KLuGeTe3
_space_group_name_H-M_alt 'P 1'
_space_group_IT_number 1
_cell_length_a 9.1629
_cell_length_b 4.2533
_cell_length_c 11.5599
_cell_angle_alpha 90.00
_cell_angle_beta 109.89
_cell_angle_gamma 90.00
loop_
_space_group_symop_operation_xyz
'x,y,z'
loop_
_atom_site_label
_atom_site_fract_x
_atom_site_fract_y
_atom_site_fract_z
K1 0.2283 0.2500 0.2783
K2 0.7717 0.7500 0.7217
Lu1 0.3676 0.7500 0.8408
Lu2 0.6324 0.2500 0.1592
Ge1 0.1185 0.2500 0.5516
Ge2 0.8815 0.7500 0.4484
Te1 0.1129 0.2500 0.7835
Te2 0.3328 0.7500 0.5670
Te3 0.3857 0.7500 0.1063
Te4 0.6143 0.2500 0.8937
Te5 0.6672 0.2500 0.4330
Te6 0.8871 0.7500 0.2165
```

Computed properties:
ΔE to the lowest computed polymorph: 0.000 eV per atom
Total DFT energy (no corrections): -0.309 Ry/atom

***

Entry 7:
Here is a geometry-optimized KLuGeTe3 structure from OQMD via LeMat-Bulk. Energies are from PBE.

```
data_KLuGeTe3
_space_group_name_H-M_alt 'P 1'
_space_group_IT_number 1
_cell_length_a 8.1300
_cell_length_b 8.1300
_cell_length_c 11.9044
_cell_angle_alpha 90.00
_cell_angle_beta 90.00
_cell_angle_gamma 147.37
loop_
_space_group_symop_operation_xyz
'x,y,z'
loop_
_atom_site_label
_atom_site_fract_x
_atom_site_fract_y
_atom_site_fract_z
K1 0.2452 0.7548 0.7500
K2 0.7548 0.2452 0.2500
Lu1 0.0000 0.0000 0.0000
Lu2 0.0000 0.0000 0.5000
Ge1 0.4631 0.5369 0.2500
Ge2 0.5369 0.4631 0.7500
Te1 0.0703 0.9297 0.2500
Te2 0.3700 0.6300 0.0419
Te3 0.3700 0.6300 0.4581
Te4 0.6300 0.3700 0.5419
Te5 0.6300 0.3700 0.9581
Te6 0.9297 0.0703 0.7500
```

Computed properties:
ΔE to the lowest computed polymorph: 0.118 eV per atom
Total DFT energy (no corrections): -0.300 Ry/atom

***

Entry 8:
Here is a geometry-optimized KNbGe structure from OQMD via LeMat-Bulk. Energies are from PBE.

```
data_KNbGe
_space_group_name_H-M_alt 'P 1'
_space_group_IT_number 1
_cell_length_a 6.9418
_cell_length_b 6.9418
_cell_length_c 6.9418
_cell_angle_alpha 90.00
_cell_angle_beta 90.00
_cell_angle_gamma 90.00
loop_
_space_group_symop_operation_xyz
'x,y,z'
loop_
_atom_site_label
_atom_site_fract_x
_atom_site_fract_y
_atom_site_fract_z
K1 0.0000 0.0000 0.0000
K2 0.0000 0.5000 0.5000
K3 0.5000 0.0000 0.5000
K4 0.5000 0.5000 0.0000
Nb1 0.2500 0.2500 0.2500
Nb2 0.2500 0.7500 0.7500
Nb3 0.7500 0.2500 0.7500
Nb4 0.7500 0.7500 0.2500
Ge1 0.2500 0.2500 0.7500
Ge2 0.2500 0.7500 0.2500
Ge3 0.7500 0.2500 0.2500
Ge4 0.7500 0.7500 0.7500
```

Computed properties:
ΔE to the lowest computed polymorph: 0.877 eV per atom
Total DFT energy (no corrections): -0.249 Ry/atom

***

Entry 9:
Here is a geometry-optimized KNbGe structure from OQMD via LeMat-Bulk. Energies are from PBE.

```
data_KNbGe
_space_group_name_H-M_alt 'P 1'
_space_group_IT_number 1
_cell_length_a 6.8583
_cell_length_b 6.8583
_cell_length_c 6.8583
_cell_angle_alpha 90.00
_cell_angle_beta 90.00
_cell_angle_gamma 90.00
loop_
_space_group_symop_operation_xyz
'x,y,z'
loop_
_atom_site_label
_atom_site_fract_x
_atom_site_fract_y
_atom_site_fract_z
K1 0.0000 0.0000 0.0000
K2 0.0000 0.5000 0.5000
K3 0.5000 0.0000 0.5000
K4 0.5000 0.5000 0.0000
Nb1 0.0000 0.0000 0.5000
Nb2 0.0000 0.5000 0.0000
Nb3 0.5000 0.0000 0.0000
Nb4 0.5000 0.5000 0.5000
Ge1 0.2500 0.2500 0.2500
Ge2 0.2500 0.7500 0.7500
Ge3 0.7500 0.2500 0.7500
Ge4 0.7500 0.7500 0.2500
```

Computed properties:
ΔE to the lowest computed polymorph: 0.000 eV per atom
Total DFT energy (no corrections): -0.313 Ry/atom

***

Entry 10:
Here is a geometry-optimized KNb3Ge5 structure from OQMD via LeMat-Bulk. Energies are from PBE.

```
data_KNb3Ge5
_space_group_name_H-M_alt 'P 1'
_space_group_IT_number 1
_cell_length_a 5.7246
_cell_length_b 5.7246
_cell_length_c 6.7027
_cell_angle_alpha 90.00
_cell_angle_beta 90.00
_cell_angle_gamma 120.00
loop_
_space_group_symop_operation_xyz
'x,y,z'
loop_
_atom_site_label
_atom_site_fract_x
_atom_site_fract_y
_atom_site_fract_z
K1 0.0000 0.0000 0.0000
Nb1 0.0000 0.5000 0.5000
Nb2 0.5000 0.0000 0.5000
Nb3 0.5000 0.5000 0.5000
Ge1 0.0000 0.0000 0.5000
Ge2 0.3333 0.6667 0.1847
Ge3 0.3333 0.6667 0.8153
Ge4 0.6667 0.3333 0.1847
Ge5 0.6667 0.3333 0.8153
```

Computed properties:
Total DFT energy (no corrections): -0.456 Ry/atom

***

Entry 11:
Here is a geometry-optimized K3Nb3Ge2O13 structure from OQMD via LeMat-Bulk. Energies are from PBE.

```
data_K3Nb3Ge2O13
_space_group_name_H-M_alt 'P 1'
_space_group_IT_number 1
_cell_length_a 9.2852
_cell_length_b 9.2852
_cell_length_c 7.8006
_cell_angle_alpha 90.00
_cell_angle_beta 90.00
_cell_angle_gamma 120.00
loop_
_space_group_symop_operation_xyz
'x,y,z'
loop_
_atom_site_label
_atom_site_fract_x
_atom_site_fract_y
_atom_site_fract_z
K1 0.0000 0.5991 0.0000
K2 0.0000 0.6078 0.5000
K3 0.3922 0.3922 0.5000
K4 0.4009 0.4009 0.0000
K5 0.5991 0.0000 0.0000
K6 0.6078 0.0000 0.5000
Nb1 0.0000 0.2326 0.2496
Nb2 0.0000 0.2326 0.7504
Nb3 0.2326 0.0000 0.2496
Nb4 0.2326 0.0000 0.7504
Nb5 0.7674 0.7674 0.2496
Nb6 0.7674 0.7674 0.7504
Ge1 0.3333 0.6667 0.2272
Ge2 0.3333 0.6667 0.7728
Ge3 0.6667 0.3333 0.2272
Ge4 0.6667 0.3333 0.7728
O1 0.0000 0.2002 0.5000
O2 0.0000 0.2866 0.0000
O3 0.0000 0.8237 0.2148
O4 0.0000 0.8237 0.7852
O5 0.1763 0.1763 0.2148
O6 0.1763 0.1763 0.7852
O7 0.1758 0.4751 0.2966
O8 0.1758 0.4751 0.7034
O9 0.2002 0.0000 0.5000
O10 0.2866 0.0000 0.0000
O11 0.2993 0.8242 0.2966
O12 0.2993 0.8242 0.7034
O13 0.3333 0.6667 0.0000
O14 0.4751 0.1758 0.2966
O15 0.4751 0.1758 0.7034
O16 0.5249 0.7007 0.2966
O17 0.5249 0.7007 0.7034
O18 0.6667 0.3333 0.0000
O19 0.7007 0.5249 0.2966
O20 0.7007 0.5249 0.7034
O21 0.7134 0.7134 0.0000
O22 0.7998 0.7998 0.5000
O23 0.8237 0.0000 0.2148
O24 0.8237 0.0000 0.7852
O25 0.8242 0.2993 0.2966
O26 0.8242 0.2993 0.7034
```

Computed properties:
Total DFT energy (no corrections): -0.537 Ry/atom

***

Entry 12:
Here is a geometry-optimized KNbGeS4 structure from OQMD via LeMat-Bulk. Energies are from PBE.

```
data_KNbGeS4
_space_group_name_H-M_alt 'P 1'
_space_group_IT_number 1
_cell_length_a 6.2997
_cell_length_b 6.4627
_cell_length_c 8.6070
_cell_angle_alpha 90.00
_cell_angle_beta 107.42
_cell_angle_gamma 90.00
loop_
_space_group_symop_operation_xyz
'x,y,z'
loop_
_atom_site_label
_atom_site_fract_x
_atom_site_fract_y
_atom_site_fract_z
K1 0.2311 0.0000 0.4307
K2 0.7689 0.5000 0.5693
Nb1 0.2710 0.9785 0.9540
Nb2 0.7290 0.4785 0.0460
Ge1 0.2780 0.5176 0.1656
Ge2 0.7220 0.0176 0.8344
S1 0.0462 0.6118 0.9281
S2 0.0505 0.5227 0.3199
S3 0.4534 0.2568 0.8023
S4 0.4932 0.2381 0.1817
S5 0.5068 0.7381 0.8183
S6 0.5466 0.7568 0.1977
S7 0.9495 0.0227 0.6801
S8 0.9538 0.1118 0.0719
```

Computed properties:
Total DFT energy (no corrections): -0.391 Ry/atom

***

Please write out number 5 again, unchanged.
Here is a geometry-optimized KLuGeSe3 structure from OQMD via LeMat-Bulk. Energies are from PBE.

```
data_KLuGeSe3
_space_group_name_H-M_alt 'P 1'
_space_group_IT_number 1
_cell_length_a 8.0858
_cell_length_b 8.0858
_cell_length_c 11.5812
_cell_angle_alpha 90.00
_cell_angle_beta 90.00
_cell_angle_gamma 151.33
loop_
_space_group_symop_operation_xyz
'x,y,z'
loop_
_atom_site_label
_atom_site_fract_x
_atom_site_fract_y
_atom_site_fract_z
K1 0.2054 0.7946 0.7500
K2 0.7946 0.2054 0.2500
Lu1 0.5000 0.5000 0.0000
Lu2 0.5000 0.5000 0.5000
Ge1 0.0999 0.9001 0.2500
Ge2 0.9001 0.0999 0.7500
Se1 0.1235 0.8765 0.0127
Se2 0.1235 0.8765 0.4873
Se3 0.4912 0.5088 0.2500
Se4 0.5088 0.4912 0.7500
Se5 0.8765 0.1235 0.5127
Se6 0.8765 0.1235 0.9873
```

Computed properties:
ΔE to the lowest computed polymorph: 0.146 eV per atom
Total DFT energy (no corrections): -0.334 Ry/atom